First-principles (PBE+U) data for a relaxed structure of FeCo2IrO6, as listed in Alexandria via LeMat-Bulk.

Space-group type: No. 146
Density of states at the Fermi level, states/eV/cell: 4.53
Total energy, eV/atom: -6.4195
Crystal system: trigonal

Lattice parameters (Å, degrees): 5.096 5.097 5.425 61.98 61.98 60.00
Site moments in Bohr magnetons follow the coordinates.
Sites, in units of the cell vectors:
O  0.737  0.100  0.762  0.07
O  0.100  0.401  0.762  0.07
O  0.617  0.210  0.243  0.04
O  0.401  0.737  0.762  0.07
O  0.930  0.617  0.243  0.04
O  0.210  0.930  0.243  0.04
Fe  0.808  0.809  0.575  4.23
Co  0.007  0.007  0.978  0.13
Co  0.526  0.526  0.422  2.61
Ir  0.324  0.324  0.027  -0.39